Here is TaFeCl3 at its PBEsol-relaxed geometry from the Alexandria database. Energies are from meta-GGA SCAN.

N(E_F) (states/eV per atom): 1.49
Energy (eV/atom): -21.643
Uncorrected formation energy (meV/atom): 87
Crystal system: cubic
Space group: Pm-3m

extended XYZ file:
```
5
Lattice="4.799 0.000 0.000 0.000 4.799 0.000 0.000 0.000 4.799" Properties=species:S:1:pos:R:3 pbc="T T T"
Cl 0.000 2.399 0.000
Cl 0.000 0.000 2.399
Cl 2.399 0.000 0.000
Fe 2.399 2.399 2.399
Ta 0.000 0.000 0.000
```